I2Cl4F PBE optimized geometry; DFT total energy = -29.50 eV for the cell shown; calculated volume = 533.9 Å³/cell; symmetry = No. 1
1.0
4.682 0.000 0.000
-0.319 8.089 0.000
-2.156 -3.979 14.096
I Cl F
4 8 2
Cartesian
0.000 0.000 0.000
-0.120 4.055 3.709
-0.383 -0.895 11.898
1.962 -0.944 5.902
-1.378 6.013 7.348
-2.056 0.022 13.492
0.289 -0.030 4.307
-0.303 1.124 10.638
1.278 -2.028 10.452
2.591 6.858 0.995
2.032 1.071 7.167
2.789 2.816 2.726
-0.459 -2.789 13.095
1.578 5.255 4.699


K2AlAgI PBE optimized geometry; DFT total energy = -11.55 eV for the cell shown; calculated volume = 207.6 Å³/cell; symmetry = No. 123
1.0
6.483 0.000 0.000
0.000 6.483 0.000
0.000 0.000 4.938
K Al Ag I
2 1 1 1
Cartesian
0.000 3.242 0.000
3.242 0.000 0.000
0.000 0.000 2.469
0.000 0.000 0.000
3.242 3.242 2.469


Ac2Pm3Sm3 PBE optimized geometry; DFT total energy = -70.76 eV for the cell shown; calculated volume = 604.6 Å³/cell; symmetry = No. 63
1.0
1.900 -8.812 0.000
1.900 8.812 0.000
0.000 0.000 18.053
Ac Pm Sm
4 6 6
Cartesian
1.900 4.424 10.882
1.900 4.424 16.197
1.900 -4.424 1.856
1.900 -4.424 7.171
1.900 7.193 0.717
1.900 7.193 8.309
1.900 6.632 13.540
1.900 -6.632 4.513
1.900 -7.193 9.743
1.900 -7.193 17.336
1.900 7.120 4.513
1.900 0.805 2.168
1.900 0.805 6.858
1.900 -0.805 11.194
1.900 -0.805 15.885
1.900 -7.120 13.540


Ho7Pb4C PBE optimized geometry; DFT total energy = -58.60 eV for the cell shown; calculated volume = 361.4 Å³/cell; symmetry = No. 12
1.0
8.078 -2.516 0.000
8.078 2.516 0.000
-6.998 0.000 8.893
Ho Pb C
7 4 1
Cartesian
0.000 0.000 0.000
-1.593 0.000 4.827
3.485 0.000 1.197
1.792 0.000 6.742
7.366 0.000 2.151
5.672 0.000 7.695
10.751 0.000 4.066
-4.091 0.000 6.935
1.142 0.000 3.097
8.016 0.000 5.796
13.249 0.000 1.958
8.078 0.000 0.000